Material: SrAl2GaAg
Method: DFT, PBE
State: relaxed

```
5
Lattice="-2.176 2.227 5.651 2.176 -2.227 5.651 2.176 2.227 -5.651" Properties=species:S:1:pos:R:3 pbc="T T T"
Sr 0.000 0.000 0.000
Al 0.000 0.000 4.320
Al 0.000 2.227 2.780
Ga 0.000 0.000 6.907
Ag 2.176 0.000 2.810
```

Formation energy: -0.306 eV per atom
Space group: No. 44

---

Material: NaLi4Sn5
Method: DFT, PBE
State: relaxed

```
10
Lattice="3.466 0.000 0.000 0.000 3.466 0.000 0.000 0.000 17.971" Properties=species:S:1:pos:R:3 pbc="T T T"
Na 0.000 0.000 0.000
Li 0.000 0.000 3.953
Li 0.000 0.000 7.288
Li 0.000 0.000 10.683
Li 0.000 0.000 14.018
Sn 1.733 1.733 2.279
Sn 1.733 1.733 5.602
Sn 1.733 1.733 8.986
Sn 1.733 1.733 12.369
Sn 1.733 1.733 15.693
```

Formation energy: -0.283 eV per atom
Space group: No. 123

---

Material: RbCd10Au2
Method: DFT, PBE
State: relaxed

```
26
Lattice="5.132 -5.975 0.000 5.132 5.975 0.000 0.000 0.000 10.004" Properties=species:S:1:pos:R:3 pbc="T T T"
Rb 5.132 4.486 7.503
Rb 5.132 -4.486 2.501
Cd 2.857 1.524 7.503
Cd 5.132 4.097 1.025
Cd 5.132 4.097 3.977
Cd 2.254 0.000 0.000
Cd 2.254 0.000 5.002
Cd 3.618 1.473 2.501
Cd 5.132 1.423 5.389
Cd 5.132 1.423 9.617
Cd 2.857 -1.524 2.501
Cd 3.618 -1.473 7.503
Cd 6.647 1.473 2.501
Cd 7.407 1.524 7.503
Cd 5.132 -1.423 0.387
Cd 5.132 -1.423 4.615
Cd 6.647 -1.473 7.503
Cd 8.010 0.000 0.000
Cd 8.010 0.000 5.002
Cd 5.132 -4.097 6.026
Cd 5.132 -4.097 8.979
Cd 7.407 -1.524 2.501
Au 2.566 2.987 0.000
Au 2.566 2.987 5.002
Au 2.566 -2.987 0.000
Au 2.566 -2.987 5.002
```

Formation energy: -0.097 eV per atom
Space group: No. 63

---

Copy entry 1 word for word.
Material: SrAl2GaAg
Method: DFT, PBE
State: relaxed

```
5
Lattice="-2.176 2.227 5.651 2.176 -2.227 5.651 2.176 2.227 -5.651" Properties=species:S:1:pos:R:3 pbc="T T T"
Sr 0.000 0.000 0.000
Al 0.000 0.000 4.320
Al 0.000 2.227 2.780
Ga 0.000 0.000 6.907
Ag 2.176 0.000 2.810
```

Formation energy: -0.306 eV per atom
Space group: No. 44

---

formation energy of number 2 (NaLi4Sn5)?
-0.283 eV per atom

---

Which value of formation energy does entry 3 give?
-0.097 eV per atom